Record 1
DFT (GGA+U) results for a relaxed structure of AcIn2MoO8.

Total energy = -0.2382 hartree per atom

Unit cell a=4.9441 b=4.9441 c=7.0323 alpha=90.00 beta=90.00 gamma=90.29
Fractional positions:
Ac (0.0000, 0.0000, 0.0000)
In (0.5000, 0.5000, 0.2696)
In (0.5000, 0.5000, 0.7304)
Mo (0.0000, 0.0000, 0.5000)
O (0.1899, 0.1899, 0.3000)
O (0.1899, 0.1899, 0.7000)
O (0.2844, 0.7156, 0.5000)
O (0.3328, 0.6672, 0.0000)
O (0.6672, 0.3328, 0.0000)
O (0.7156, 0.2844, 0.5000)
O (0.8101, 0.8101, 0.3000)
O (0.8101, 0.8101, 0.7000)

Record 2
DFT (GGA+U) results for a relaxed structure of AcInMoO6.

Total energy = -0.2564 hartree per atom

Unit cell a=5.4946 b=5.4946 c=5.2818 alpha=90.00 beta=90.00 gamma=120.00
Fractional positions:
Ac (0.0000, 0.0000, 0.0000)
In (0.3333, 0.6667, 0.5000)
Mo (0.6667, 0.3333, 0.5000)
O (0.3870, 0.0304, 0.7125)
O (0.3870, 0.3566, 0.2875)
O (0.6434, 0.0304, 0.2875)
O (0.6434, 0.6130, 0.7125)
O (0.9696, 0.3566, 0.7125)
O (0.9696, 0.6130, 0.2875)

Q: Which formula does entry 1 have?
A: AcIn2MoO8

Q: Which of these has the highest total energy?
A: AcIn2MoO8